Record 1
SmCoC2 | the Alexandria database | PBEsol | optimized geometry; space-group type = Cc; calculated volume = 98 Å³/cell
1.0
3.701 0.001 0.005
-0.003 3.701 0.005
-1.000 -1.001 7.141
Sm C Co
2 4 2
Cartesian
0.258 3.443 0.007 Sm
2.942 -0.240 3.577 Sm
1.131 0.583 6.637 C
0.255 1.612 1.956 C
1.083 1.633 3.066 C
1.112 -0.244 5.527 C
2.119 1.612 1.395 Co
1.110 1.619 4.966 Co

Record 2
Y2CoSnC | the Alexandria database | PBEsol | optimized geometry; space-group type = P4/mmm; calculated volume = 139 Å³/cell
1.0
4.497 0.000 0.000
0.000 5.557 0.000
0.000 0.000 5.557
Y C Co Sn
2 1 1 1
Cartesian
0.000 2.778 0.000 Y
0.000 0.000 2.778 Y
2.249 2.778 2.778 C
2.249 0.000 0.000 Co
0.000 0.000 0.000 Sn

Record 3
Sr3CoC | the Alexandria database | PBEsol | optimized geometry; space-group type = Pm-3m; energy relative to the lowest polymorph listed for this composition = 0.00 kcal/mol of atoms; calculated volume = 146 Å³/cell
1.0
5.261 0.000 0.000
0.000 5.261 0.000
0.000 0.000 5.261
Sr C Co
3 1 1
Cartesian
2.630 0.000 0.000 Sr
0.000 2.630 0.000 Sr
0.000 0.000 2.630 Sr
0.000 0.000 0.000 C
2.630 2.630 2.630 Co

Record 4
Ta3Co3C | the Alexandria database | PBEsol | optimized geometry; space-group type = Fd-3m; calculated volume = 349 Å³/cell
1.0
7.901 0.000 0.000
3.951 6.843 0.000
3.951 2.281 6.451
Co Ta C
12 12 4
Cartesian
11.852 6.843 1.516 Co
3.951 4.562 0.806 Co
3.951 2.281 0.097 Co
11.852 3.710 5.946 Co
14.565 8.409 5.946 Co
3.951 2.281 4.032 Co
9.139 8.409 5.946 Co
3.951 0.852 2.118 Co
1.975 1.140 0.806 Co
5.926 1.140 0.806 Co
5.188 2.995 2.118 Co
2.713 2.995 2.118 Co
10.274 5.932 6.127 Ta
7.901 6.384 4.514 Ta
11.852 5.020 3.550 Ta
6.323 5.473 1.937 Ta
9.480 5.473 1.937 Ta
13.430 7.754 3.550 Ta
13.430 5.932 6.127 Ta
10.274 7.754 3.550 Ta
11.852 8.665 6.127 Ta
6.323 3.651 4.514 Ta
7.901 2.739 1.937 Ta
9.480 3.651 4.514 Ta
7.901 4.562 0.806 C
5.926 5.702 4.032 C
7.901 2.281 4.032 C
9.877 5.702 4.032 C

Record 5
Ta4Co2C | the Alexandria database | PBEsol | optimized geometry; space-group type = Fd-3m; calculated volume = 383 Å³/cell
1.0
-0.971 -0.343 -8.089
-1.755 -7.104 -3.599
-7.410 -1.245 -3.168
Ta Co C
16 8 4
Cartesian
-4.972 -1.709 -3.441 Ta
-5.944 -3.186 -5.835 Ta
-6.307 -3.314 -8.860 Ta
-3.829 -5.377 -5.996 Ta
-6.070 -5.022 -11.389 Ta
-6.726 -7.678 -12.735 Ta
-1.267 -1.086 -1.857 Ta
-9.134 -8.016 -10.894 Ta
-6.600 -5.843 -7.181 Ta
-2.144 -4.638 -3.656 Ta
-8.841 -5.487 -12.574 Ta
-8.478 -5.359 -9.549 Ta
-4.192 -5.505 -9.021 Ta
-1.752 -1.258 -5.902 Ta
-6.363 -7.550 -9.710 Ta
-3.536 -2.849 -7.675 Ta
-8.123 -3.223 -11.219 Co
-9.295 -7.971 -13.624 Co
-3.374 -2.893 -4.946 Co
-2.792 -0.538 -3.752 Co
-4.343 -7.139 -11.507 Co
-8.646 -7.742 -8.217 Co
-0.917 -2.481 -3.895 Co
-3.052 -2.780 -2.263 Co
-5.849 -5.261 -5.240 C
-6.335 -5.432 -9.285 C
-2.630 -4.810 -7.701 C
-5.457 -1.880 -7.486 C

Record 6
Ta2Ti2Co2C | the Alexandria database | PBEsol | optimized geometry; space-group type = I-4m2; calculated volume = 367 Å³/cell
1.0
8.024 0.007 0.010
-3.988 6.963 -0.010
-3.988 -2.345 6.557
Ti Ta Co C
8 8 8 4
Cartesian
-3.988 0.591 4.485 Ti
-0.014 2.296 5.766 Ti
-3.988 4.027 2.061 Ti
0.063 -0.036 2.460 Ti
-1.998 -1.131 5.766 Ti
2.546 1.461 2.071 Ti
-2.497 3.164 4.485 Ti
2.047 -1.185 5.688 Ti
-5.528 3.201 4.538 Ta
-2.448 1.417 2.009 Ta
-1.522 3.753 0.379 Ta
1.497 3.787 0.428 Ta
0.024 2.857 2.894 Ta
-1.448 5.492 2.845 Ta
0.024 6.422 0.379 Ta
1.571 5.527 2.894 Ta
2.692 6.233 0.564 Co
-2.643 6.184 0.495 Co
1.354 0.778 4.385 Co
0.079 4.608 4.923 Co
-0.030 1.533 0.564 Co
-1.306 0.756 4.353 Co
0.050 -0.029 6.558 Co
-0.001 -1.562 4.385 Co
-2.002 3.466 2.464 C
-3.973 2.301 5.710 C
4.022 0.018 2.474 C
2.051 3.466 2.465 C

Record 7
TbCoC | the Alexandria database | PBEsol | optimized geometry; space-group type = P4_2/mmc; calculated volume = 88 Å³/cell
1.0
-3.021 -1.520 1.179
1.732 -3.104 0.434
1.612 1.802 6.456
C Tb Co
2 2 2
Cartesian
-0.704 0.141 3.817 C
0.866 -1.552 0.217 C
1.209 1.351 4.842 Tb
0.403 0.450 1.614 Tb
0.162 -1.411 4.034 Co
-0.644 -2.312 0.806 Co

Record 8
TbCoC2 | the Alexandria database | PBEsol | optimized geometry; space-group type = Amm2; calculated volume = 47 Å³/cell
1.0
-2.266 2.446 1.230
-2.686 -1.421 -2.122
-0.202 -1.810 3.227
Tb Co C
1 1 2
Cartesian
-0.214 -1.808 3.201 Tb
-2.875 -0.346 0.525 Co
-1.659 0.033 2.014 C
-2.551 -0.966 2.355 C

Record 9
ThCoC2 | the Alexandria database | PBEsol | optimized geometry; space-group type = Amm2; calculated volume = 51 Å³/cell
1.0
-3.642 -0.886 -0.145
1.841 -3.253 0.316
-0.210 0.248 3.774
C Co Th
2 1 1
Cartesian
-0.209 -3.063 2.090 C
0.357 -1.761 2.036 C
-1.591 -1.693 1.923 Co
1.829 -3.248 0.315 Th

Record 10
TlCo2C | the Alexandria database | PBEsol | optimized geometry; space-group type = I-42d; calculated volume = 100 Å³/cell
1.0
-0.022 -3.717 -3.456
-2.688 -1.109 4.160
-2.103 4.094 -2.138
Co C Tl
4 2 2
Cartesian
-2.155 -1.336 -0.878 Co
-2.869 0.380 -2.913 Co
-1.980 1.811 -0.732 Co
-2.622 -2.317 1.655 Co
-1.740 -1.018 -2.621 C
-1.355 -2.413 0.352 C
0.000 0.000 0.000 Tl
-3.073 0.286 1.187 Tl

Record 11
Co2W4C | the Alexandria database | PBEsol | optimized geometry; space-group type = Fd-3m; calculated volume = 351 Å³/cell
1.0
7.919 0.000 0.000
3.959 6.858 0.000
3.959 2.286 6.466
W C Co
16 4 8
Cartesian
7.919 4.572 0.808 W
5.452 1.424 2.835 W
5.452 3.147 0.398 W
5.452 5.996 1.218 W
5.939 5.715 4.041 W
3.959 0.563 0.398 W
7.919 2.286 4.041 W
10.386 3.147 5.247 W
10.386 5.996 1.218 W
2.467 3.147 0.398 W
7.919 7.421 5.247 W
5.452 3.147 5.247 W
2.467 1.424 2.835 W
3.959 4.009 2.835 W
7.919 1.723 1.218 W
9.898 5.715 4.041 W
3.959 4.572 0.808 C
3.959 2.286 4.041 C
5.939 1.143 0.808 C
1.980 1.143 0.808 C
11.878 5.367 5.376 Co
7.919 6.063 2.706 Co
7.919 4.572 4.814 Co
10.587 7.603 5.376 Co
13.169 7.603 5.376 Co
11.878 6.858 3.268 Co
6.628 3.826 2.706 Co
9.210 3.826 2.706 Co

Record 12
Co6W20C7 | the Alexandria database | PBEsol | optimized geometry; space-group type = P-6m2; calculated volume = 411 Å³/cell
1.0
-0.973 -1.241 -7.639
7.041 -0.902 3.231
-1.615 -7.503 1.425
Co W C
6 20 7
Cartesian
1.784 -4.842 -2.091 Co
1.131 -0.751 -2.674 Co
0.806 -1.166 -5.225 Co
-0.571 -4.540 -3.172 Co
1.459 -5.257 -4.646 Co
3.158 -1.467 -4.146 Co
3.856 -4.160 -3.797 W
-1.034 -6.290 -5.267 W
1.975 -7.223 -0.670 W
5.470 -1.746 -2.993 W
5.828 -2.762 -0.294 W
6.100 -0.942 1.955 W
4.790 -7.583 0.622 W
1.295 -3.000 -3.660 W
2.364 -6.726 2.384 W
4.473 -4.728 1.556 W
3.013 -2.401 -1.586 W
1.539 -0.357 -0.138 W
-0.457 -3.608 -5.777 W
2.073 -4.421 0.454 W
3.278 -6.843 -3.288 W
0.139 -2.847 -1.098 W
0.486 -6.760 -2.946 W
4.141 -5.151 -1.048 W
3.402 -1.905 1.468 W
-0.438 -5.530 -0.589 W
3.996 -7.199 -1.302 C
1.004 -6.143 0.870 C
4.475 -6.587 2.463 C
1.812 -2.390 0.157 C
5.283 -2.835 1.750 C
4.803 -3.446 -2.015 C
-0.808 -3.752 0.713 C

Number 1: ΔE_f -0.374 eV per atom, raw total energy -8.403 eV/atom. Number 2: ΔE_f 1.622 eV per atom, raw total energy -5.434 eV/atom. Number 3: ΔE_f 0.810 eV per atom, raw total energy -3.771 eV/atom. Number 4: ΔE_f -0.390 eV per atom, raw total energy -10.462 eV/atom. Number 5: ΔE_f -0.418 eV per atom, raw total energy -11.179 eV/atom. Number 6: ΔE_f -0.486 eV per atom, raw total energy -10.038 eV/atom. Number 7: ΔE_f -0.333 eV per atom, raw total energy -7.797 eV/atom. Number 8: ΔE_f -0.411 eV per atom, raw total energy -8.420 eV/atom. Number 9: ΔE_f -0.376 eV per atom, raw total energy -9.159 eV/atom. Number 10: ΔE_f 0.422 eV per atom, raw total energy -6.515 eV/atom. Number 11: ΔE_f -0.111 eV per atom, raw total energy -11.589 eV/atom. Number 12: ΔE_f -0.106 eV per atom, raw total energy -11.926 eV/atom.